(1)
{
  "formula": "NaNdLuCd",
  "functional": "GGA-PBE",
  "state": "optimized geometry",
  "space_group": "F-43m (216)",
  "delta_e_f_kj_per_mol_fu": 17,
  "magmom_total_mub_per_cell": 0.44,
  "lattice": [[0.000, 3.841, 3.841], [3.841, 0.000, 3.841], [3.841, 3.841, 0.000]],
  "species": ["Na", "Nd", "Lu", "Cd"],
  "frac_coords": [[0.000, 0.000, 0.000], [0.250, 0.250, 0.250], [0.750, 0.750, 0.750], [0.500, 0.500, 0.500]]
}



(2)
{
  "formula": "BaCuHg2Ge",
  "functional": "GGA-PBE",
  "state": "optimized geometry",
  "relative_energy_mev_per_atom": 274,
  "space_group": "P4/mmm (123)",
  "delta_e_f_kj_per_mol_fu": 61,
  "magmom_total_mub_per_cell": 0.00,
  "lattice": [[5.064, 0.000, 0.000], [0.000, 5.064, 0.000], [0.000, 0.000, 5.827]],
  "species": ["Ba", "Cu", "Hg", "Hg", "Ge"],
  "frac_coords": [[0.000, 0.000, 0.000], [0.000, 0.000, 0.500], [0.000, 0.500, 0.500], [0.500, 0.000, 0.500], [0.500, 0.500, 0.000]]
}